# 1
The following is a GGA-PBE calculation of a geometry-optimized NdZrGa structure, from Alexandria via LeMat-Bulk.

ΔE to the lowest computed polymorph   1 meV per atom
Total moment   0.503 μB per formula unit
Formation energy   -38.2 kJ per mole of atoms

Cell lengths 4.306, 4.306, 16.389 Å; angles 90.00, 90.00, 90.00 degrees
Atoms (fractional coordinates):
Nd (0.000, 0.000, 0.178)
Nd (0.000, 0.000, 0.822)
Nd (0.500, 0.500, 0.322)
Nd (0.500, 0.500, 0.678)
Zr (0.000, 0.500, 0.000)
Zr (0.000, 0.500, 0.500)
Zr (0.500, 0.000, 0.000)
Zr (0.500, 0.000, 0.500)
Ga (0.000, 0.000, 0.378)
Ga (0.000, 0.000, 0.622)
Ga (0.500, 0.500, 0.122)
Ga (0.500, 0.500, 0.878)


# 2
The following is a GGA-PBE calculation of a geometry-optimized Hf3CuTc2 structure, from Alexandria via LeMat-Bulk.

Total moment   0.000 μB per formula unit
Formation energy   -40.3 kJ per mole of atoms

Cell lengths 3.292, 3.292, 9.648 Å; angles 90.00, 90.00, 90.00 degrees
Atoms (fractional coordinates):
Hf (0.000, 0.000, 0.000)
Hf (0.000, 0.000, 0.328)
Hf (0.000, 0.000, 0.672)
Cu (0.500, 0.500, 0.500)
Tc (0.500, 0.500, 0.173)
Tc (0.500, 0.500, 0.827)


# 3
The following is a GGA-PBE calculation of a geometry-optimized CaLuHg structure, from Alexandria via LeMat-Bulk.

ΔE to the lowest computed polymorph   115 meV per atom
Total moment   0.000 μB per formula unit
Formation energy   -16.4 kJ per mole of atoms

Cell lengths 5.160, 5.160, 3.817 Å; angles 90.00, 90.00, 120.00 degrees
Atoms (fractional coordinates):
Ca (0.000, 0.000, 0.000)
Lu (0.333, 0.667, 0.483)
Hg (0.667, 0.333, 0.598)